No. 1
The following is a PBE calculation of an optimized crystal structure of BaAlGa2, from the Alexandria database.

a b c (Å): 4.961 4.991 4.991
angles (deg): 98.28 90.00 90.00
Fractional coordinates of all 4 atoms:
1 Ga 0.500 0.884 0.487
2 Al 0.500 0.389 0.611
3 Ga 0.500 0.513 0.116
4 Ba 0.000 0.995 0.005



No. 2
The following is a PBE calculation of an optimized crystal structure of Ba2AlGa3, from the Alexandria database.

a b c (Å): 6.841 6.841 8.956
angles (deg): 109.10 109.10 98.24
Fractional coordinates of all 12 atoms:
1 Ga 0.834 0.834 0.668
2 Ba 0.248 0.752 0.000
3 Ga 0.166 0.166 0.834
4 Ba 0.750 0.250 0.500
5 Al 0.666 0.666 0.333
6 Al 0.334 0.334 0.667
7 Ga 0.668 0.668 0.834
8 Ga 0.332 0.332 0.166
9 Ba 0.752 0.248 0.000
10 Ga 0.834 0.834 0.166
11 Ba 0.250 0.750 0.500
12 Ga 0.166 0.166 0.332

- Energy above the most stable polymorph in this dataset: 0.000 eV/atom



No. 3
The following is a PBE calculation of an optimized crystal structure of Ba3AlGa2, from the Alexandria database.

a b c (Å): 4.489 9.798 12.620
angles (deg): 69.19 79.75 76.76
Fractional coordinates of all 12 atoms:
1 Ga 0.141 0.535 0.183
2 Ba 0.046 0.171 0.738
3 Ba 0.800 0.788 0.613
4 Ba 0.954 0.829 0.262
5 Ba 0.656 0.699 0.988
6 Ba 0.200 0.212 0.387
7 Ga 0.559 0.355 0.527
8 Al 0.412 0.479 0.698
9 Ga 0.441 0.645 0.473
10 Ba 0.344 0.301 0.012
11 Al 0.588 0.521 0.302
12 Ga 0.859 0.465 0.817

- Energy above the most stable polymorph in this dataset: 0.057 eV/atom



No. 4
The following is a PBE calculation of an optimized crystal structure of Ba4Al5Ga2, from the Alexandria database.

a b c (Å): 3.788 8.765 10.153
angles (deg): 88.21 90.00 90.00
Fractional coordinates of all 11 atoms:
1 Al 0.000 0.210 0.180
2 Al 0.000 0.500 0.000
3 Ba 0.500 0.174 0.875
4 Ga 0.000 0.006 0.631
5 Al 0.000 0.505 0.254
6 Ba 0.500 0.826 0.125
7 Ba 0.500 0.710 0.517
8 Ga 0.000 0.994 0.369
9 Al 0.000 0.495 0.746
10 Al 0.000 0.790 0.820
11 Ba 0.500 0.290 0.483



No. 5
The following is a PBE calculation of an optimized crystal structure of Ba3AlGa4, from the Alexandria database.

a b c (Å): 5.607 6.650 8.519
angles (deg): 112.97 109.21 90.00
Fractional coordinates of all 8 atoms:
1 Ba 0.181 0.181 0.363
2 Al 0.500 0.000 0.000
3 Ga 0.394 0.586 0.788
4 Ga 0.606 0.799 0.212
5 Ba 0.819 0.819 0.637
6 Ga 0.394 0.201 0.788
7 Ba 0.000 0.500 0.000
8 Ga 0.606 0.414 0.212



No. 6
The following is a PBE calculation of an optimized crystal structure of Ba2Al3Ga5, from the Alexandria database.

a b c (Å): 4.581 4.581 11.115
angles (deg): 90.00 90.00 90.00
Fractional coordinates of all 10 atoms:
1 Al 0.000 0.000 0.500
2 Ba 0.000 0.500 0.754
3 Al 0.000 0.500 0.369
4 Ga 0.500 0.500 0.500
5 Ba 0.500 0.000 0.246
6 Ga 0.000 0.500 0.129
7 Ga 0.500 0.500 0.000
8 Ga 0.000 0.000 0.000
9 Ga 0.500 0.000 0.871
10 Al 0.500 0.000 0.631

- Energy above the most stable polymorph in this dataset: 0.011 eV/atom



No. 7
The following is a PBE calculation of an optimized crystal structure of Ba3Al2Ga4, from the Alexandria database.

a b c (Å): 6.949 9.536 9.536
angles (deg): 63.54 68.95 68.95
Site moments in Bohr magnetons follow the coordinates.
Fractional coordinates of all 18 atoms:
1 Ga 0.468 0.594 0.840  0.01
2 Ga 0.968 0.840 0.594  0.01
3 Al 0.092 0.595 0.844  0.00
4 Al 0.408 0.156 0.405  0.00
5 Ga 0.632 0.110 0.621  0.01
6 Ga 0.868 0.379 0.890  0.01
7 Ba 0.099 0.013 0.779  0.07
8 Ba 0.901 0.987 0.221  0.07
9 Ga 0.368 0.890 0.379  0.01
10 Ga 0.132 0.621 0.110  0.01
11 Al 0.592 0.844 0.595  0.00
12 Ba 0.250 0.508 0.492  0.01
13 Ba 0.750 0.492 0.508  0.01
14 Ba 0.599 0.779 0.013  0.07
15 Ba 0.401 0.221 0.987  0.07
16 Al 0.908 0.405 0.156  0.00
17 Ga 0.032 0.160 0.406  0.01
18 Ga 0.532 0.406 0.160  0.01

- Energy above the most stable polymorph in this dataset: 0.086 eV/atom



No. 8
The following is a PBE calculation of an optimized crystal structure of BaAl2Ga, from the Alexandria database.

a b c (Å): 4.465 4.465 10.463
angles (deg): 90.00 90.00 90.00
Fractional coordinates of all 8 atoms:
1 Al 0.500 0.000 0.930
2 Al 0.000 0.500 0.070
3 Ba 0.000 0.500 0.763
4 Ga 0.000 0.500 0.353
5 Ga 0.500 0.000 0.647
6 Ba 0.500 0.000 0.237
7 Al 0.000 0.000 0.500
8 Al 0.500 0.500 0.500



no.,calculated volume (Å³/cell),E (eV/atom),total magnetization (μB/f.u.)
1,122.28,-3.048,0.00
2,359.27,-3.190,0.00
3,502.24,-2.792,0.00
4,336.99,-3.046,0.00
5,273.14,-2.963,0.00
6,233.27,-3.386,0.00
7,512.71,-3.111,0.58
8,208.58,-3.236,0.00